VASP calculation (GGA-PBEsol) on crystalline Mn3PdN at its relaxed geometry.

The structure in POSCAR format:
```
Mn3PdN
1.0
-2.411 2.868 -0.885
-1.049 0.258 3.695
2.812 2.556 0.620
Mn Pd N
3 1 1
direct
0.000 0.500 0.500
0.500 0.500 0.000
0.500 0.000 0.500
0.000 0.000 0.000
0.500 0.500 0.500
```

Calculated values
Raw total energy (eV per atom): -8.958
Crystal system: cubic
Total magnetization (μB per cell): 8.7